# 1
Y2Sc | GGA-PBE | relaxed

extended XYZ file:
```
6
Lattice="0.0000 4.5075 4.5075 4.5075 0.0000 4.5075 4.5075 4.5075 0.0000" Properties=species:S:1:pos:R:3 pbc="T T T"
Y 3.3806 5.6344 3.3806
Sc 2.2537 2.2537 2.2537
Y 5.6344 3.3806 3.3806
Y 3.3806 3.3806 5.6344
Y 5.6344 5.6344 5.6344
Sc 0.0000 0.0000 0.0000
```

Output
The value obtained for the total magnetic moment is 0.01 μB/cell. Its formation energy from the elements is 369 meV per atom.

=====

# 2
YSc | GGA-PBE | relaxed

extended XYZ file:
```
2
Lattice="-4.1265 -0.4498 1.3875 -3.2758 -0.1776 -2.8971 -2.1337 -3.7635 -0.6627" Properties=species:S:1:pos:R:3 pbc="T T T"
Sc 0.0000 0.0000 0.0000
Y -4.7680 -2.1954 -1.0862
```

Output
Its energy above the most stable polymorph in this dataset is 702 meV per atom. The value obtained for the total magnetic moment is 1.55 μB/cell. Its formation energy from the elements is 752 meV per atom.

=====

# 3
YScZn | GGA-PBE | relaxed

extended XYZ file:
```
3
Lattice="-1.9282 -3.3989 -2.8267 -4.6253 -1.2526 0.5467 -3.2399 1.2114 -3.3611" Properties=species:S:1:pos:R:3 pbc="T T T"
Sc -2.4483 -0.8600 -1.4103
Y 0.0000 0.0000 0.0000
Zn -7.3450 -2.5801 -4.2309
```

Output
Its energy above the most stable polymorph in this dataset is 886 meV per atom. The value obtained for the total magnetic moment is 0.01 μB/cell. Its formation energy from the elements is 628 meV per atom.

=====

# 4
YScZn | GGA-PBE | relaxed

extended XYZ file:
```
3
Lattice="0.0000 3.3931 3.3931 3.3931 0.0000 3.3931 3.3931 3.3931 0.0000" Properties=species:S:1:pos:R:3 pbc="T T T"
Zn 0.0000 0.0000 0.0000
Sc 1.6966 1.6966 1.6966
Y 5.0897 5.0897 5.0897
```

Output
Its energy above the most stable polymorph in this dataset is 285 meV per atom. The value obtained for the total magnetic moment is 0.01 μB/cell. Its formation energy from the elements is 26 meV per atom.

=====

# 5
YScZn | GGA-PBE | relaxed

extended XYZ file:
```
12
Lattice="-2.2270 1.9872 -5.5356 1.2209 -4.3610 -2.0567 -8.0013 -3.2140 2.0652" Properties=species:S:1:pos:R:3 pbc="T T T"
Y -4.5796 -1.0949 -3.4041
Zn -6.9937 -5.5965 -1.3060
Zn -2.0138 0.0088 -4.2211
Zn -5.6062 -3.5983 -4.7193
Sc -7.2289 -2.6366 -1.7077
Y -8.2848 -4.6013 -4.1827
Sc -5.3366 -3.3174 0.8591
Y -4.4278 -4.4929 -2.1230
Sc -1.7786 -2.9512 -3.8194
Zn -3.4012 -1.9894 -0.8077
Y -0.7227 -0.9864 -1.3444
Sc -3.6709 -2.2704 -6.3862
```

Output
Its energy above the most stable polymorph in this dataset is 0 meV per atom. The value obtained for the total magnetic moment is 0.03 μB/cell. Its formation energy from the elements is -259 meV per atom.

=====

# 6
YZr2Sc | GGA-PBE | relaxed

extended XYZ file:
```
4
Lattice="0.0254 -4.3264 2.8687 -3.5567 -3.6881 -0.8338 1.3997 -4.5207 -2.1334" Properties=species:S:1:pos:R:3 pbc="T T T"
Zr -1.0658 -6.2676 -0.0493
Zr -1.5987 -9.4014 -0.0739
Sc -0.5329 -3.1338 -0.0246
Y 0.0000 0.0000 0.0000
```

Output
The value obtained for the total magnetic moment is 0.70 μB/cell. Its formation energy from the elements is 175 meV per atom.

=====

# 7
ScZn3 | GGA-PBE | relaxed

extended XYZ file:
```
4
Lattice="0.0000 3.1762 3.1762 3.1762 0.0000 3.1762 3.1762 3.1762 0.0000" Properties=species:S:1:pos:R:3 pbc="T T T"
Zn 0.0000 0.0000 0.0000
Sc 1.5881 1.5881 1.5881
Zn 3.1762 3.1762 3.1762
Zn 4.7644 4.7644 4.7644
```

Output
The value obtained for the total magnetic moment is 0.00 μB/cell. Its formation energy from the elements is -292 meV per atom.

=====

# 8
ScZn2 | GGA-PBE | relaxed

extended XYZ file:
```
24
Lattice="2.4662 -12.3176 -0.6733 5.9308 -1.4235 4.9823 -2.9176 -0.7621 3.2552" Properties=species:S:1:pos:R:3 pbc="T T T"
Sc 1.5284 -3.1729 3.6513
Sc 2.5674 -5.0549 1.1176
Sc 5.5659 -1.5426 4.6274
Zn 4.3478 -3.8411 2.9975
Sc 6.3024 -11.1546 3.0372
Zn -0.5344 -3.6316 1.6951
Sc 3.2581 -5.8775 4.5684
Sc 3.9574 -9.2768 1.3751
Zn 3.4286 -1.3607 2.7543
Zn 6.0388 -8.2599 3.4786
Zn 5.2117 -13.1915 4.6071
Zn 5.2036 -10.2581 5.2865
Zn 6.2039 -5.5906 4.2515
Zn 4.1642 -11.9761 0.9284
Zn 3.3542 -11.4382 3.3528
Zn 3.5199 -8.7704 4.1258
Sc 1.0604 -10.5519 1.5044
Zn 4.3533 -6.7731 2.3160
Zn 1.6165 -2.2205 0.9290
Zn 1.9769 -7.9163 -0.0815
Sc 5.6014 -7.7553 6.2290
Zn 3.6656 -3.3543 5.5244
Zn -0.4519 -1.0704 2.3687
Zn 1.6512 -7.6893 2.7040
```

Output
The value obtained for the total magnetic moment is 0.07 μB/cell. Its formation energy from the elements is -239 meV per atom.

=====

# 9
Sc3Zn4 | GGA-PBE | relaxed

extended XYZ file:
```
14
Lattice="5.3383 6.1638 0.0000 -2.6689 7.7046 0.0000 0.0000 0.0000 4.5013" Properties=species:S:1:pos:R:3 pbc="T T T"
Zn 2.7436 7.6164 0.0000
Zn 5.2245 6.1436 0.0000
Sc -1.1169 7.7904 2.2506
Sc 1.9675 3.2355 2.2506
Zn 1.7049 12.4157 2.2506
Sc 2.6302 11.0262 0.0000
Zn 0.0005 9.2454 0.0000
Zn 4.4091 7.5960 2.2506
Sc 1.8185 9.0059 2.2506
Zn -0.8893 4.6225 2.2506
Sc 0.2275 6.0777 0.0000
Sc -0.1880 2.9279 0.0000
Zn 2.7080 4.7309 0.0000
Zn 1.8933 6.1844 2.2506
```

Output
Its energy above the most stable polymorph in this dataset is 0 meV per atom. The value obtained for the total magnetic moment is 0.05 μB/cell. Its formation energy from the elements is -234 meV per atom.

=====

# 10
Sc3Zn4 | GGA-PBE | relaxed

extended XYZ file:
```
14
Lattice="1.1568 -6.1905 -4.7228 3.9847 0.8738 -6.7304 4.0982 -0.9874 2.2982" Properties=species:S:1:pos:R:3 pbc="T T T"
Sc 2.5652 -4.2276 -6.3908
Zn 1.1998 -3.4839 -3.6365
Zn 6.7800 -4.6739 -9.0835
Zn 4.1097 -6.2462 -4.9972
Zn 4.2060 -0.6309 -2.7562
Sc 2.4933 -1.2899 -5.0003
Sc 5.5194 -1.0797 -5.2911
Sc 3.9946 -1.7021 -7.8547
Zn 1.1467 -6.1254 -4.6766
Zn 1.3037 -0.6340 -2.5973
Sc 5.5911 -4.0171 -6.6811
Zn 3.8781 -4.6763 -8.9249
Sc 4.0898 -3.6053 -3.8270
Zn 2.8998 -2.6982 -1.3151
```

Output
Its energy above the most stable polymorph in this dataset is 87 meV per atom. The value obtained for the total magnetic moment is 0.01 μB/cell. Its formation energy from the elements is -148 meV per atom.

=====

# 11
ScZn3 | GGA-PBE | relaxed

extended XYZ file:
```
4
Lattice="0.0000 3.1670 3.1670 3.1670 0.0000 3.1670 3.1670 3.1670 0.0000" Properties=species:S:1:pos:R:3 pbc="T T T"
Zn 4.7504 4.7504 4.7504
Zn 3.1670 3.1670 3.1670
Sc 0.0000 0.0000 0.0000
Zn 1.5835 1.5835 1.5835
```

Output
The value obtained for the total magnetic moment is 0.00 μB/cell. Its formation energy from the elements is -291 meV per atom.

=====

# 12
ScZn2 | GGA-PBE | relaxed

extended XYZ file:
```
12
Lattice="-1.1329 -9.1009 -9.8217 3.3560 -0.3682 -0.0459 -0.3196 -3.2998 3.0945" Properties=species:S:1:pos:R:3 pbc="T T T"
Zn -1.1040 -8.8687 -9.5712
Zn -0.2930 -2.7197 0.3926
Zn -0.3703 -2.9751 -3.2107
Sc -0.7280 -5.8485 -6.3118
Sc 1.1763 -4.5806 -1.4400
Zn 1.1405 -4.5024 -4.6834
Zn 0.8186 -7.4541 -4.5410
Sc 1.5164 -1.4824 -1.4242
Zn 0.7413 -7.7095 -8.1444
Sc -1.0681 -8.9467 -6.3276
Zn 0.4194 -10.6613 -8.0023
Zn -0.6922 -5.9267 -3.0684
```

Output
The value obtained for the total magnetic moment is 0.01 μB/cell. Its formation energy from the elements is -251 meV per atom.

=====

| no. | electronic total energy (eV per cell) |
| --- | --- |
| 1 | -36.305 |
| 2 | -11.290 |
| 3 | -12.175 |
| 4 | -13.981 |
| 5 | -59.339 |
| 6 | -29.187 |
| 7 | -11.293 |
| 8 | -76.597 |
| 9 | -51.371 |
| 10 | -50.158 |
| 11 | -11.286 |
| 12 | -38.440 |